## CrRh2 (PBE)

Data for a relaxed CrRh2 crystal.

Cell and atoms, written as CIF:
```
data_CrRh2
_chemical_formula_sum 'Cr8 Rh16'
_cell_length_a 3.773
_cell_length_b 3.773
_cell_length_c 22.997
_cell_angle_alpha 90.00
_cell_angle_beta 90.00
_cell_angle_gamma 90.00
_space_group_name_H-M_alt 'I 41/a m d'
_space_group_IT_number 141
loop_
_space_group_symop_operation_xyz
'x,y,z'
'-x,-y,-z'
'-y+1/4,x+3/4,z+1/4'
'y+1/4,-x+3/4,-z+1/4'
'-x+1/2,-y,z+1/2'
'x+1/2,y,-z+1/2'
'y+1/4,-x+1/4,z+3/4'
'-y+1/4,x+1/4,-z+3/4'
'x,-y,-z'
'-x,y,z'
'-y+1/4,-x+1/4,-z+3/4'
'y+1/4,x+1/4,z+3/4'
'-x+1/2,y,-z+1/2'
'x+1/2,-y,z+1/2'
'y+1/4,x+3/4,-z+1/4'
'-y+1/4,-x+3/4,z+1/4'
'x+1/2,y+1/2,z+1/2'
'-x+1/2,-y+1/2,-z+1/2'
'-y+3/4,x+1/4,z+3/4'
'y+3/4,-x+1/4,-z+3/4'
'-x,-y+1/2,z'
'x,y+1/2,-z'
'y+3/4,-x+3/4,z+1/4'
'-y+3/4,x+3/4,-z+1/4'
'x+1/2,-y+1/2,-z+1/2'
'-x+1/2,y+1/2,z+1/2'
'-y+3/4,-x+3/4,-z+1/4'
'y+3/4,x+3/4,z+1/4'
'-x,y+1/2,-z'
'x,-y+1/2,z'
'y+3/4,x+1/4,-z+3/4'
'-y+3/4,-x+1/4,z+3/4'
loop_
_atom_site_label
_atom_site_fract_x
_atom_site_fract_y
_atom_site_fract_z
_atom_site_occupancy
Cr1 0.000 0.250 0.294 1
Rh1 0.000 0.250 0.125 1
Rh2 0.000 0.250 0.791 1
```

Output
Energy of formation   -0.091 eV per atom

## BeAsIr2 (PBE)

Data for a relaxed BeAsIr2 crystal.

Cell and atoms, written as CIF:
```
data_BeAsIr2
_chemical_formula_sum 'Be2 As2 Ir4'
_cell_length_a 8.090
_cell_length_b 2.850
_cell_length_c 4.827
_cell_angle_alpha 90.00
_cell_angle_beta 102.01
_cell_angle_gamma 90.00
_space_group_name_H-M_alt 'C 1 2/m 1'
_space_group_IT_number 12
loop_
_space_group_symop_operation_xyz
'x,y,z'
'-x,-y,-z'
'-x,y,-z'
'x,-y,z'
'x+1/2,y+1/2,z'
'-x+1/2,-y+1/2,-z'
'-x+1/2,y+1/2,-z'
'x+1/2,-y+1/2,z'
loop_
_atom_site_label
_atom_site_fract_x
_atom_site_fract_y
_atom_site_fract_z
_atom_site_occupancy
Be1 0.000 0.000 0.000 1
As1 0.000 0.500 0.500 1
Ir1 0.236 0.500 0.239 1
```

Output
Energy of formation   -0.092 eV per atom
Polymorph energy (0 for the lowest one)   0.0716 eV/atom

## Rb2MgBe (PBE)

Data for a relaxed Rb2MgBe crystal.

Cell and atoms, written as CIF:
```
data_Rb2MgBe
_chemical_formula_sum 'Rb8 Mg4 Be4'
_cell_length_a 8.893
_cell_length_b 8.893
_cell_length_c 8.893
_cell_angle_alpha 90.00
_cell_angle_beta 90.00
_cell_angle_gamma 90.00
_space_group_name_H-M_alt 'F m -3 m'
_space_group_IT_number 225
_space_group_name_Hall '-F 4 2 3'
loop_
_atom_site_label
_atom_site_fract_x
_atom_site_fract_y
_atom_site_fract_z
_atom_site_occupancy
Rb1 0.250 0.250 0.250 1
Mg1 0.000 0.000 0.000 1
Be1 0.000 0.000 0.500 1
```

Output
Energy of formation   0.803 eV per atom
Polymorph energy (0 for the lowest one)   0.2134 eV/atom

## Li2CaFeN (PBE)

Data for a relaxed Li2CaFeN crystal.

Cell and atoms, written as CIF:
```
data_Li2CaFeN
_chemical_formula_sum 'Li2 Ca1 Fe1 N1'
_cell_length_a 4.327
_cell_length_b 4.327
_cell_length_c 5.618
_cell_angle_alpha 90.00
_cell_angle_beta 90.00
_cell_angle_gamma 90.00
_space_group_name_H-M_alt 'P 4/m m m'
_space_group_IT_number 123
_space_group_name_Hall '-P 4 2'
loop_
_atom_site_label
_atom_site_fract_x
_atom_site_fract_y
_atom_site_fract_z
_atom_site_occupancy
Li1 0.000 0.500 0.000 1
Ca1 0.000 0.000 0.500 1
Fe1 0.000 0.000 0.000 1
N1 0.500 0.500 0.500 1
```

Output
Formation energy without anion corrections   1.29 eV/atom